4
Lattice="-3.723 5.141 4.318 -2.807 3.264 6.356 -1.020 5.363 5.397" Properties=species:S:1:pos:R:3 comment="GGA-PBE CuSi2Ir, optimized geometry" volume_a3_per_atom=13.81 total_magnetization_mub_per_fu=0.0 dos_ef_per_ev_fu=2.4 crystal_system=trigonal formation_energy_uncorrected_ev_per_fu=0.1 pbc="T T T"
Cu -3.822 6.969 8.135
Ir -5.614 10.238 11.951
Si -7.545 13.758 16.060
Si -1.894 3.454 4.032